No. 1
Below is crystalline Ti8As2P at its relaxed geometry, with properties calculated at the PBE level.

Summary:
E_form = -0.66 eV per atom
DFT total energy = -85.132 eV per formula unit

a = 3.5509 Å, b = 6.7959 Å, c = 7.7297 Å
α = 94.36°, β = 103.28°, γ = 90.00°
Closest atoms and distances in Å follow each position.
Positions (direct):
Ti 0.4085 0.4849 0.8171  2 As 2.66, 7 Ti 2.74-2.91
Ti 0.6618 0.0241 0.3237  1 P 2.43, 2 As 2.62
Ti 0.7939 0.6460 0.5878  3 As 2.60-2.73, 6 Ti 2.76-2.90
Ti 0.0067 0.2403 0.0135  2 P 2.41
Ti 0.2061 0.3540 0.4122  3 As 2.60-2.73, 6 Ti 2.76-2.90
Ti 0.3382 0.9759 0.6763  1 P 2.43, 2 As 2.62
Ti 0.5915 0.5151 0.1829  2 As 2.66, 7 Ti 2.74-2.91
Ti 0.9933 0.7597 0.9865  2 P 2.41
As 0.8204 0.2537 0.6407  9 Ti 2.60-2.81
As 0.1796 0.7463 0.3593  9 Ti 2.60-2.81
P 0.5000 0.0000 0.0000  6 Ti 2.41-2.43


No. 2
Below is crystalline ThCuIr2 at its relaxed geometry, with properties calculated at the PBE level.

Summary:
E_form = -0.50 eV per atom
relative energy among the computed polymorphs = 0 meV per atom
DFT total energy = -31.252 eV per formula unit

a = 4.0209 Å, b = 4.1933 Å, c = 4.1933 Å
α = 90.00°, β = 90.00°, γ = 90.00°
Closest atoms and distances in Å follow each position.
Positions (direct):
Ir 0.0000 0.0000 0.5000  4 Th 2.90, 4 Cu 2.90, 4 Ir 2.97
Ir 0.0000 0.5000 0.0000  4 Th 2.90, 4 Cu 2.90, 4 Ir 2.97
Cu 0.5000 0.0000 0.0000  8 Ir 2.90, 4 Th 2.97
Th 0.5000 0.5000 0.5000  8 Ir 2.90, 4 Cu 2.97


Which value of E_form does entry 1 give? -0.66 eV per atom